Entry 1:
First-principles (PBE) data for a geometry-optimized LaNd4Dy2Er structure, as listed in Alexandria via LeMat-Bulk.

Computed properties:
The calculation puts the total energy at -0.346 Ry/atom. The value obtained for the energy of formation from the pure elements is 0.018 eV/atom.

CIF file:
```
data_LaNd4Dy2Er
_chemical_formula_sum 'La1 Nd4 Dy2 Er1'
_space_group_name_H-M_alt 'P 1 2/m 1'
_space_group_IT_number 10
_cell_length_a 6.2724
_cell_length_b 3.6512
_cell_length_c 12.0234
_cell_angle_alpha 90.00
_cell_angle_beta 100.17
_cell_angle_gamma 90.00
loop_
_space_group_symop_operation_xyz
'x,y,z'
'-x,-y,-z'
'-x,y,-z'
'x,-y,z'
loop_
_atom_site_label
_atom_site_type_symbol
_atom_site_fract_x
_atom_site_fract_y
_atom_site_fract_z
La1 La 0.0000 0.0000 0.0000
Nd1 Nd 0.2501 0.0000 0.7487
Nd2 Nd 0.2517 0.5000 0.2541
Dy1 Dy 0.0000 0.5000 0.5000
Dy2 Dy 0.5000 0.0000 0.5000
Er1 Er 0.5000 0.5000 0.0000
```

***

Entry 2:
First-principles (PBE) data for a geometry-optimized La2Nd4DyEr structure, as listed in Alexandria via LeMat-Bulk.

Computed properties:
The calculation puts the total energy at -0.348 Ry/atom. The value obtained for the energy of formation from the pure elements is 0.024 eV/atom.

CIF file:
```
data_La2Nd4DyEr
_chemical_formula_sum 'La2 Nd4 Dy1 Er1'
_space_group_name_H-M_alt 'P 1 2/m 1'
_space_group_IT_number 10
_cell_length_a 5.1542
_cell_length_b 5.1753
_cell_length_c 10.3976
_cell_angle_alpha 90.00
_cell_angle_beta 90.12
_cell_angle_gamma 90.00
loop_
_space_group_symop_operation_xyz
'x,y,z'
'-x,-y,-z'
'-x,y,-z'
'x,-y,z'
loop_
_atom_site_label
_atom_site_type_symbol
_atom_site_fract_x
_atom_site_fract_y
_atom_site_fract_z
La1 La 0.0000 0.0000 0.0000
La2 La 0.5000 0.5000 0.5000
Nd1 Nd 0.9997 0.5000 0.2491
Nd2 Nd 0.5003 0.0000 0.2499
Dy1 Dy 0.0000 0.0000 0.5000
Er1 Er 0.5000 0.5000 0.0000
```

***

Entry 3:
First-principles (PBE) data for a geometry-optimized La2Nd3DyEr6 structure, as listed in Alexandria via LeMat-Bulk.

Computed properties:
The calculation puts the total energy at -0.343 Ry/atom. The value obtained for the energy of formation from the pure elements is 0.016 eV/atom.

CIF file:
```
data_La2Nd3DyEr6
_chemical_formula_sum 'La4 Nd6 Dy2 Er12'
_space_group_name_H-M_alt 'C 1 2/m 1'
_space_group_IT_number 12
_cell_length_a 6.2350
_cell_length_b 10.8000
_cell_length_c 11.8229
_cell_angle_alpha 90.00
_cell_angle_beta 100.13
_cell_angle_gamma 90.00
loop_
_space_group_symop_operation_xyz
'x,y,z'
'-x,-y,-z'
'-x,y,-z'
'x,-y,z'
'x+1/2,y+1/2,z'
'-x+1/2,-y+1/2,-z'
'-x+1/2,y+1/2,-z'
'x+1/2,-y+1/2,z'
loop_
_atom_site_label
_atom_site_type_symbol
_atom_site_fract_x
_atom_site_fract_y
_atom_site_fract_z
La1 La 0.0000 0.1664 0.0000
Nd1 Nd 0.0000 0.0000 0.5000
Nd2 Nd 0.0000 0.3331 0.5000
Dy1 Dy 0.0000 0.5000 0.0000
Er1 Er 0.2487 0.5000 0.7491
Er2 Er 0.2501 0.1662 0.7494
```

***

Entry 4:
First-principles (PBE) data for a geometry-optimized La3Nd6Dy2Er structure, as listed in Alexandria via LeMat-Bulk.

Computed properties:
The calculation puts the total energy at -0.349 Ry/atom. The value obtained for the energy of formation from the pure elements is 0.020 eV/atom.

CIF file:
```
data_La3Nd6Dy2Er
_chemical_formula_sum 'La6 Nd12 Dy4 Er2'
_space_group_name_H-M_alt 'C 1 2/m 1'
_space_group_IT_number 12
_cell_length_a 6.3458
_cell_length_b 11.0024
_cell_length_c 12.1160
_cell_angle_alpha 90.00
_cell_angle_beta 100.10
_cell_angle_gamma 90.00
loop_
_space_group_symop_operation_xyz
'x,y,z'
'-x,-y,-z'
'-x,y,-z'
'x,-y,z'
'x+1/2,y+1/2,z'
'-x+1/2,-y+1/2,-z'
'-x+1/2,y+1/2,-z'
'x+1/2,-y+1/2,z'
loop_
_atom_site_label
_atom_site_type_symbol
_atom_site_fract_x
_atom_site_fract_y
_atom_site_fract_z
La1 La 0.0000 0.0000 0.0000
La2 La 0.0000 0.3333 0.0000
Nd1 Nd 0.2482 0.0000 0.7436
Nd2 Nd 0.2478 0.3335 0.7436
Dy1 Dy 0.0000 0.1667 0.5000
Er1 Er 0.0000 0.5000 0.5000
```

***

Among the records above, which one has the lowest energy of formation from the pure elements?
La2Nd3DyEr6

***

What is the energy of formation from the pure elements in the second record?
0.024 eV/atom

***

The highest energy of formation from the pure elements belongs to which entry?
La2Nd4DyEr